Entry from Alexandria: a geometry-optimized MgCuSb structure (GGA-PBE).

Properties
Uncorrected energy in eV for the cell shown: -9.705
Theoretical density in g/cm3: 5.74

Structure (POSCAR):
```
MgCuSb
1.0
6.508 0.000 0.000
5.748 3.054 -0.003
0.761 0.195 3.048
Mg Sb Cu
1 1 1
Direct
0.360 0.360 0.640 Mg
0.648 0.648 0.352 Sb
0.991 0.991 0.009 Cu
```

=====

Entry from Alexandria: a geometry-optimized UCrTcGe structure (GGA-PBE).

Properties
Uncorrected energy in eV for the cell shown: -35.776
Theoretical density in g/cm3: 11.75

Structure (POSCAR):
```
UCrTcGe
1.0
-2.213 1.308 -3.713
-4.033 -1.785 -0.971
-3.730 2.518 0.364
Tc Ge U Cr
1 1 1 1
Direct
0.750 0.750 0.750 Tc
0.000 0.000 0.000 Ge
0.500 0.500 0.500 U
0.250 0.250 0.250 Cr
```